Computed, not measured: a relaxed structure of Be2In2CuPt5 at the PBE level of DFT.

The spin magnetization is 0.0 μB/cell. The value obtained for the energy relative to the elements is -0.48 eV/atom. Its crystal system is tetragonal.

It has space group P4/mbm (No. 127), with a = 9.2122 Å, b = 9.2122 Å, c = 3.5039 Å, α = 90.00°, β = 90.00° and γ = 90.00°. The distinct sites, in fractional coordinates, are Be at (0.1261, 0.3739, 0.0000), In at (0.1745, 0.6745, 0.0000), Cu at (0.0000, 0.0000, 0.0000), Pt at (0.0000, 0.5000, 0.5000) and Pt at (0.0748, 0.2052, 0.5000).